## Rb2AsI5 (PBE)

Data for an optimized crystal structure of Rb2AsI5.

The structure in POSCAR format:
```
Rb2AsI5
1.0
-4.3598 4.3598 5.1373
4.3598 -4.3598 5.1373
4.3598 4.3598 -5.1373
Rb As I
2 1 5
direct
0.0000 0.5000 0.5000
0.5000 0.0000 0.5000
0.2775 0.2775 0.0000
0.0148 0.0148 0.5331
0.0148 0.4816 0.0000
0.4816 0.0148 0.0000
0.4816 0.4816 0.4669
0.5306 0.5306 0.0000
```

The calculation puts the volume at 48.8 Å³/atom. As for the space group: I4mm, No. 107. The uncorrected formation energy comes out at -0.832 eV/atom.